Entry from OQMD: an optimized crystal structure of TbDyB2As2Ir2 (GGA-PBE).

Results
- space group = P4mm (99)
- crystal system = tetragonal
- M_tot (Bohr magnetons per cell) = 0.00

extended XYZ file:
```
8
Lattice="3.971 0.000 0.000 0.000 3.971 0.000 0.000 0.000 8.643" Properties=species:S:1:pos:R:3 pbc="T T T"
Ir 0.000 1.986 4.319
As 1.986 1.986 7.400
As 0.000 0.000 1.249
Dy 1.986 1.986 1.815
Ir 1.986 0.000 4.319
B 1.986 1.986 5.247
B 0.000 0.000 3.399
Tb 0.000 0.000 6.825
```

Entry from OQMD: an optimized crystal structure of DyYCo2B2N2 (GGA-PBE).

Results
- space group = P4mm (99)
- crystal system = tetragonal
- M_tot (Bohr magnetons per cell) = 0.01

extended XYZ file:
```
8
Lattice="-3.301 0.936 0.572 -0.955 -3.345 -0.032 1.159 -0.402 7.350" Properties=species:S:1:pos:R:3 pbc="T T T"
N -1.140 -1.547 6.533
Co 0.103 -1.874 3.660
Dy 0.964 -0.334 6.109
B -1.375 -1.465 5.044
N 0.171 -0.059 1.086
B 0.406 -0.141 2.576
Y -1.933 -1.272 1.506
Co -1.071 0.267 3.963
```

Entry from OQMD: an optimized crystal structure of NdHoLu (GGA-PBE).

Results
- space group = F-43m (216)
- crystal system = cubic
- M_tot (Bohr magnetons per cell) = 0.02
- energy of formation (eV/atom) = 0.70

extended XYZ file:
```
3
Lattice="0.741 -5.241 -1.103 -4.069 -2.942 -2.007 0.160 -1.686 -5.135" Properties=species:S:1:pos:R:3 pbc="T T T"
Nd -1.584 -4.935 -4.122
Lu -2.376 -7.402 -6.184
Ho 0.000 0.000 0.000
```

Entry from OQMD: an optimized crystal structure of NdAlHg (GGA-PBE).

Results
- space group = F-43m (216)
- crystal system = cubic
- M_tot (Bohr magnetons per cell) = 0.00

extended XYZ file:
```
3
Lattice="-3.514 -1.100 -3.186 -4.368 2.119 0.366 -1.398 3.283 -3.313" Properties=species:S:1:pos:R:3 pbc="T T T"
Al -2.320 1.076 -1.533
Hg 0.000 0.000 0.000
Nd -6.961 3.227 -4.599
```

Entry from OQMD: an optimized crystal structure of Ta12Co17 (GGA-PBE).

Results
- space group = I-43m (217)
- crystal system = cubic
- M_tot (Bohr magnetons per cell) = 3.12
- energy of formation (eV/atom) = -0.01

extended XYZ file:
```
29
Lattice="4.584 -5.412 3.702 3.067 7.305 1.117 -7.408 -0.271 3.012" Properties=species:S:1:pos:R:3 pbc="T T T"
Co 0.000 0.000 0.000
Ta 1.390 3.603 2.688
Co -1.237 0.974 5.515
Co -0.263 2.637 0.977
Co 2.263 -0.620 1.572
Ta 4.613 -0.741 3.140
Co 1.990 1.671 1.107
Co 4.880 1.488 4.457
Ta -0.726 -1.136 4.144
Ta -3.999 2.951 2.644
Ta 2.043 -1.874 3.801
Co -2.150 1.272 1.318
Ta -3.346 -2.526 3.757
Co 3.234 -3.819 2.612
Co 0.730 2.396 5.160
Ta -3.122 0.340 3.504
Co -2.699 4.737 4.020
Ta 4.177 2.915 2.397
Co 0.295 -2.043 1.928
Co 2.164 5.154 0.788
Co -5.226 -0.191 2.125
Co -1.741 -3.300 5.654
Ta 0.102 -4.004 3.956
Ta -0.987 5.129 2.100
Ta 2.226 0.999 3.610
Co 1.015 0.008 5.645
Co 0.072 0.477 2.306
Co -1.865 -1.116 1.804
Ta -1.153 2.448 3.415
```

Entry from OQMD: an optimized crystal structure of Sm2Sn2O5 (GGA-PBE).

Results
- space group = P4/mmm (123)
- crystal system = tetragonal
- M_tot (Bohr magnetons per cell) = 0.53

extended XYZ file:
```
9
Lattice="-2.373 -6.292 1.973 1.581 -1.718 -3.576 3.694 -0.766 2.001" Properties=species:S:1:pos:R:3 pbc="T T T"
Sn 0.762 -6.214 0.772
O 1.271 -1.911 1.480
O 1.451 -4.388 0.199
O 0.214 -2.387 -1.309
Sm 0.000 0.000 0.000
O -1.006 -5.622 -0.294
Sm -1.186 -3.146 0.987
Sn 2.140 -2.561 -0.373
O 0.051 -5.146 2.494
```

Entry from OQMD: an optimized crystal structure of ZnCd (GGA-PBE).

Results
- space group = Pmmn (59)
- crystal system = orthorhombic
- energy of formation (eV/atom) = 0.06

extended XYZ file:
```
8
Lattice="-7.983 4.053 -4.885 -1.479 0.169 2.558 1.796 4.436 0.746" Properties=species:S:1:pos:R:3 pbc="T T T"
Cd -4.605 5.012 -2.994
Zn -0.275 2.814 -0.345
Cd -2.555 1.006 0.168
Zn -7.277 6.078 -2.898
Cd -4.091 2.077 -2.503
Zn -6.884 3.204 -2.481
Zn -7.865 3.993 -4.813
Cd -3.068 3.941 -0.323
```

Entry from OQMD: an optimized crystal structure of NaSrW (GGA-PBE).

Results
- space group = F-43m (216)
- crystal system = cubic
- M_tot (Bohr magnetons per cell) = 4.79

extended XYZ file:
```
3
Lattice="0.000 3.821 3.821 3.821 0.000 3.821 3.821 3.821 0.000" Properties=species:S:1:pos:R:3 pbc="T T T"
Na 1.910 1.910 1.910
W 5.731 5.731 5.731
Sr 0.000 0.000 0.000
```

no.,E (Ry/atom)
1,-0.5196
2,-0.5880
3,-0.2880
4,-0.2402
5,-0.6672
6,-0.4777
7,-0.0751
8,-0.2444